# 1
Compound: Tl3BiTe3
Source: Alexandria
Functional: PBE
Structure: optimized geometry

As for the offset from the most stable computed form: 0.093 eV/atom. The calculated total energy is -3.108 eV per atom. The calculation puts the total magnetic moment at 0.00 μB per cell.

It has space group C2/m (No. 12), with a = 9.386 Å, b = 14.685 Å, c = 8.551 Å, α = 90.00°, β = 91.08° and γ = 90.00°. Symmetry generates all atoms from Tl at (0.000, 0.178, 0.000), Tl at (0.000, 0.220, 0.500), Tl at (0.067, 0.500, 0.826), Bi at (0.195, 0.000, 0.619), Te at (0.095, 0.000, 0.251) and Te at (0.174, 0.337, 0.229).

***

# 2
Compound: Tl2BiTe
Source: Alexandria
Functional: PBE
Structure: optimized geometry

As for the offset from the most stable computed form: 0.000 eV/atom. The calculated total energy is -3.014 eV per atom. The calculation puts the total magnetic moment at 0.00 μB per cell. The value obtained for the density of states at the Fermi level is 0.638 states/eV/atom.

It has space group P4/mmm (No. 123), with a = 4.835 Å, b = 4.835 Å, c = 5.514 Å, α = 90.00°, β = 90.00° and γ = 90.00°. Symmetry generates all atoms from Tl at (0.000, 0.500, 0.000), Bi at (0.000, 0.000, 0.500) and Te at (0.500, 0.500, 0.500).

***

# 3
Compound: Tl2BiTe
Source: Alexandria
Functional: PBE
Structure: optimized geometry

As for the offset from the most stable computed form: 0.100 eV/atom. The calculated total energy is -2.914 eV per atom. The calculation puts the total magnetic moment at 0.00 μB per cell. The value obtained for the density of states at the Fermi level is 0.613 states/eV/atom.

It has space group Fm-3m (No. 225), with a = 7.962 Å, b = 7.962 Å, c = 7.962 Å, α = 90.00°, β = 90.00° and γ = 90.00°. Symmetry generates all atoms from Tl at (0.250, 0.250, 0.250), Bi at (0.000, 0.000, 0.000) and Te at (0.000, 0.000, 0.500).

***

# 4
Compound: Tl3BiTe3
Source: Alexandria
Functional: PBE
Structure: optimized geometry

As for the offset from the most stable computed form: 0.000 eV/atom. The calculated total energy is -3.201 eV per atom. The calculation puts the total magnetic moment at 0.00 μB per cell.

It has space group I4_132 (No. 214), with a = 13.167 Å, b = 13.167 Å, c = 13.167 Å, α = 90.00°, β = 90.00° and γ = 90.00°. Symmetry generates all atoms from Tl at (0.122, 0.375, 0.372), Bi at (0.125, 0.125, 0.125) and Te at (0.116, 0.366, 0.125).

***

# 5
Compound: TlBi2Te
Source: Alexandria
Functional: PBE
Structure: optimized geometry

As for the offset from the most stable computed form: 0.104 eV/atom. The calculated total energy is -3.081 eV per atom. The calculation puts the total magnetic moment at 0.00 μB per cell. The value obtained for the density of states at the Fermi level is 0.449 states/eV/atom.

It has space group I-42d (No. 122), with a = 6.620 Å, b = 6.620 Å, c = 16.313 Å, α = 90.00°, β = 90.00° and γ = 90.00°. Symmetry generates all atoms from Tl at (0.000, 0.000, 0.000), Bi at (0.242, 0.250, 0.625) and Te at (0.000, 0.000, 0.500).

***

# 6
Compound: TlBi2Te3
Source: Alexandria
Functional: PBE
Structure: optimized geometry

The calculated total energy is -3.419 eV per atom. The calculation puts the total magnetic moment at 0.00 μB per cell. The value obtained for the density of states at the Fermi level is 0.465 states/eV/atom.

It has space group Pmc2_1 (No. 26), with a = 4.313 Å, b = 12.313 Å, c = 8.008 Å, α = 90.00°, β = 90.00° and γ = 90.00°. Symmetry generates all atoms from Tl at (0.000, 0.143, 0.000), Bi at (0.000, 0.169, 0.481), Bi at (0.500, 0.495, 0.970), Te at (0.000, 0.381, 0.746), Te at (0.500, 0.059, 0.690) and Te at (0.500, 0.302, 0.254).

***

# 7
Compound: TlBiTe3
Source: Alexandria
Functional: PBE
Structure: optimized geometry

As for the offset from the most stable computed form: 0.277 eV/atom. The calculated total energy is -2.913 eV per atom. The calculation puts the total magnetic moment at 0.00 μB per cell. The value obtained for the density of states at the Fermi level is 1.183 states/eV/atom.

It has space group Pm-3m (No. 221), with a = 5.981 Å, b = 5.981 Å, c = 5.981 Å, α = 90.00°, β = 90.00° and γ = 90.00°. Symmetry generates all atoms from Tl at (0.000, 0.000, 0.000), Bi at (0.500, 0.500, 0.500) and Te at (0.000, 0.500, 0.500).

***

# 8
Compound: Tl6BiTe2
Source: Alexandria
Functional: PBE
Structure: optimized geometry

The calculated total energy is -2.821 eV per atom. The calculation puts the total magnetic moment at 0.00 μB per cell. The value obtained for the density of states at the Fermi level is 0.465 states/eV/atom.

It has space group C2/m (No. 12), with a = 12.399 Å, b = 5.739 Å, c = 10.554 Å, α = 90.00°, β = 125.71° and γ = 90.00°. Symmetry generates all atoms from Tl at (0.023, 0.000, 0.341), Tl at (0.152, 0.500, 0.999), Tl at (0.183, 0.500, 0.661), Bi at (0.000, 0.000, 0.000) and Te at (0.163, 0.500, 0.325).

***

# 9
Compound: Tl8BiTe6
Source: Alexandria
Functional: PBE
Structure: optimized geometry

The calculated total energy is -3.030 eV per atom. The calculation puts the total magnetic moment at 0.00 μB per cell. The value obtained for the density of states at the Fermi level is 0.512 states/eV/atom.

It has space group R-3 (No. 148, hexagonal axes), with a = 8.0835 Å, b = 8.0835 Å, c = 29.6903 Å, α = 90.00°, β = 90.00° and γ = 120.00°. Symmetry generates all atoms from Tl at (0.0000, 0.0000, 0.1662), Tl at (0.0026, 0.6564, 0.3762), Bi at (0.0000, 0.0000, 0.5000) and Te at (0.0024, 0.6879, 0.5647).

***

# 10
Compound: TlBiTe
Source: Alexandria
Functional: PBE
Structure: optimized geometry

As for the offset from the most stable computed form: 0.000 eV/atom. The calculated total energy is -3.191 eV per atom. The calculation puts the total magnetic moment at 0.00 μB per cell. The value obtained for the density of states at the Fermi level is 0.306 states/eV/atom.

It has space group P1 (No. 1), with a = 4.281 Å, b = 5.143 Å, c = 10.740 Å, α = 78.58°, β = 78.56° and γ = 89.97°. Symmetry generates all atoms from Tl at (0.000, 0.000, 0.000), Tl at (0.104, 0.609, 0.776), Bi at (0.248, 0.301, 0.498), Bi at (0.861, 0.548, 0.273), Te at (0.466, 0.438, 0.062) and Te at (0.732, 0.811, 0.522).

***

# 11
Compound: TlBiTe
Source: Alexandria
Functional: PBE
Structure: optimized geometry

As for the offset from the most stable computed form: 0.003 eV/atom. The calculated total energy is -3.188 eV per atom. The calculation puts the total magnetic moment at 0.00 μB per cell. The value obtained for the density of states at the Fermi level is 0.436 states/eV/atom.

It has space group I4mm (No. 107), with a = 4.143 Å, b = 4.143 Å, c = 11.903 Å, α = 90.00°, β = 90.00° and γ = 90.00°. Symmetry generates all atoms from Tl at (0.000, 0.000, 0.000), Bi at (0.000, 0.000, 0.304) and Te at (0.000, 0.000, 0.699).

***

# 12
Compound: Tl3BiTe
Source: Alexandria
Functional: PBE
Structure: optimized geometry

As for the offset from the most stable computed form: 0.000 eV/atom. The calculated total energy is -2.986 eV per atom. The calculation puts the total magnetic moment at 0.00 μB per cell. The value obtained for the density of states at the Fermi level is 0.110 states/eV/atom.

It has space group P2_1/m (No. 11), with a = 7.420 Å, b = 4.631 Å, c = 10.546 Å, α = 90.00°, β = 94.11° and γ = 90.00°. Symmetry generates all atoms from Tl at (0.004, 0.250, 0.142), Tl at (0.226, 0.250, 0.563), Tl at (0.489, 0.250, 0.269), Bi at (0.367, 0.250, 0.959) and Te at (0.175, 0.750, 0.333).

***

# 13
Compound: Tl15BiTe4
Source: Alexandria
Functional: PBE
Structure: optimized geometry

The calculated total energy is -2.764 eV per atom. The calculation puts the total magnetic moment at 0.00 μB per cell. The value obtained for the density of states at the Fermi level is 0.295 states/eV/atom.

It has space group P4/mmm (No. 123), with a = 5.041 Å, b = 5.041 Å, c = 25.571 Å, α = 90.00°, β = 90.00° and γ = 90.00°. Symmetry generates all atoms from Tl at (0.000, 0.000, 0.000), Tl at (0.000, 0.000, 0.196), Tl at (0.000, 0.000, 0.399), Tl at (0.000, 0.500, 0.097), Tl at (0.000, 0.500, 0.298), Tl at (0.000, 0.500, 0.500), Bi at (0.500, 0.500, 0.000), Te at (0.500, 0.500, 0.202) and Te at (0.500, 0.500, 0.401).

***

# 14
Compound: Tl2BiTe
Source: Alexandria
Functional: PBE
Structure: optimized geometry

As for the offset from the most stable computed form: 0.197 eV/atom. The calculated total energy is -2.817 eV per atom. The calculation puts the total magnetic moment at 0.00 μB per cell. The value obtained for the density of states at the Fermi level is 0.646 states/eV/atom.

It has space group R-3m (No. 166, hexagonal axes), with a = 4.1749 Å, b = 4.1749 Å, c = 30.7867 Å, α = 90.00°, β = 90.00° and γ = 120.00°. Symmetry generates all atoms from Tl at (0.0000, 0.0000, 0.1020), Bi at (0.0000, 0.0000, 0.0000) and Te at (0.0000, 0.0000, 0.5000).

***

# 15
Compound: Tl2BiTe
Source: Alexandria
Functional: PBE
Structure: optimized geometry

As for the offset from the most stable computed form: 0.116 eV/atom. The calculated total energy is -2.897 eV per atom. The calculation puts the total magnetic moment at 0.00 μB per cell. The value obtained for the density of states at the Fermi level is 0.468 states/eV/atom.

It has space group I-42d (No. 122), with a = 7.039 Å, b = 7.039 Å, c = 14.395 Å, α = 90.00°, β = 90.00° and γ = 90.00°. Symmetry generates all atoms from Tl at (0.245, 0.250, 0.125), Bi at (0.000, 0.000, 0.000) and Te at (0.000, 0.000, 0.500).

***

# 16
Compound: TlBiTe
Source: Alexandria
Functional: PBE
Structure: optimized geometry

As for the offset from the most stable computed form: 0.067 eV/atom. The calculated total energy is -3.124 eV per atom. The calculation puts the total magnetic moment at 0.00 μB per cell. The value obtained for the density of states at the Fermi level is 0.451 states/eV/atom.

It has space group P3m1 (No. 156), with a = 5.2216 Å, b = 5.2216 Å, c = 4.5008 Å, α = 90.00°, β = 90.00° and γ = 120.00°. Symmetry generates all atoms from Tl at (0.0000, 0.0000, 0.0000), Bi at (0.3333, 0.6667, 0.4107) and Te at (0.6667, 0.3333, 0.5849).

***

# 17
Compound: TlBiTe3
Source: Alexandria
Functional: PBE
Structure: optimized geometry

As for the offset from the most stable computed form: 0.000 eV/atom. The calculated total energy is -3.190 eV per atom. The calculation puts the total magnetic moment at 0.00 μB per cell. The value obtained for the density of states at the Fermi level is 1.148 states/eV/atom.

It has space group P-6c2 (No. 188), with a = 7.1432 Å, b = 7.1432 Å, c = 7.7618 Å, α = 90.00°, β = 90.00° and γ = 120.00°. Symmetry generates all atoms from Tl at (0.0000, 0.0000, 0.0000), Bi at (0.3333, 0.6667, 0.0000) and Te at (0.3900, 0.0437, 0.2500).

***

# 18
Compound: Tl5BiTe5
Source: Alexandria
Functional: PBE
Structure: optimized geometry

The calculated total energy is -3.055 eV per atom. The calculation puts the total magnetic moment at 0.00 μB per cell. The value obtained for the density of states at the Fermi level is 0.453 states/eV/atom.

It has space group C2/m (No. 12), with a = 14.953 Å, b = 6.373 Å, c = 9.605 Å, α = 90.00°, β = 108.67° and γ = 90.00°. Symmetry generates all atoms from Tl at (0.000, 0.000, 0.000), Tl at (0.178, 0.500, 0.358), Tl at (0.179, 0.500, 0.814), Bi at (0.000, 0.000, 0.500), Te at (0.000, 0.500, 0.500), Te at (0.155, 0.000, 0.338) and Te at (0.160, 0.000, 0.816).

***

# 19
Compound: Tl8BiTe2
Source: Alexandria
Functional: PBE
Structure: optimized geometry

The calculated total energy is -2.765 eV per atom. The calculation puts the total magnetic moment at 0.00 μB per cell. The value obtained for the density of states at the Fermi level is 0.346 states/eV/atom.

It has space group P1 (No. 1), with a = 5.977 Å, b = 8.458 Å, c = 8.932 Å, α = 114.02°, β = 103.85° and γ = 101.22°. Symmetry generates all atoms from Tl at (0.000, 0.000, 0.000), Tl at (0.039, 0.564, 0.109), Tl at (0.271, 0.044, 0.416), Tl at (0.346, 0.874, 0.724), Tl at (0.416, 0.413, 0.835), Tl at (0.617, 0.278, 0.184), Tl at (0.743, 0.754, 0.415), Tl at (0.851, 0.513, 0.651), Bi at (0.253, 0.436, 0.417), Te at (0.518, 0.855, 0.112) and Te at (0.822, 0.159, 0.718).

***

# 20
Compound: Tl3BiTe
Source: Alexandria
Functional: PBE
Structure: optimized geometry

As for the offset from the most stable computed form: 0.406 eV/atom. The calculated total energy is -2.580 eV per atom. The calculation puts the total magnetic moment at 0.00 μB per cell. The value obtained for the density of states at the Fermi level is 0.376 states/eV/atom.

It has space group Pm-3m (No. 221), with a = 6.013 Å, b = 6.013 Å, c = 6.013 Å, α = 90.00°, β = 90.00° and γ = 90.00°. Symmetry generates all atoms from Tl at (0.000, 0.000, 0.500), Bi at (0.000, 0.000, 0.000) and Te at (0.500, 0.500, 0.500).

***

# 21
Compound: Tl7BiTe6
Source: Alexandria
Functional: PBE
Structure: optimized geometry

The calculated total energy is -3.022 eV per atom. The calculation puts the total magnetic moment at 0.00 μB per cell. The value obtained for the density of states at the Fermi level is 0.634 states/eV/atom.

It has space group R3 (No. 146, hexagonal axes), with a = 9.3895 Å, b = 9.3895 Å, c = 20.7396 Å, α = 90.00°, β = 90.00° and γ = 120.00°. Symmetry generates all atoms from Tl at (0.0000, 0.0000, 0.0000), Tl at (0.0262, 0.2949, 0.8938), Tl at (0.1011, 0.6688, 0.0821), Bi at (0.0000, 0.0000, 0.6621), Te at (0.0073, 0.4256, 0.4100) and Te at (0.0754, 0.7093, 0.2484).

***

# 22
Compound: Tl5BiTe4
Source: Alexandria
Functional: PBE
Structure: optimized geometry

As for the offset from the most stable computed form: 0.000 eV/atom. The calculated total energy is -3.102 eV per atom. The calculation puts the total magnetic moment at 0.00 μB per cell.

It has space group C2/m (No. 12), with a = 20.371 Å, b = 4.629 Å, c = 8.237 Å, α = 90.00°, β = 105.65° and γ = 90.00°. Symmetry generates all atoms from Tl at (0.000, 0.000, 0.000), Tl at (0.180, 0.500, 0.097), Tl at (0.199, 0.500, 0.607), Bi at (0.000, 0.000, 0.500), Te at (0.060, 0.500, 0.317) and Te at (0.136, 0.000, 0.805).